A relaxed structure of CoSn2F, computed with PBE+U.

Summary:
- volume (Å³ per atom) = 16.4
- SG = No. 225
- uncorrected energy (eV per atom) = -3.91

Cell: 4.527 4.527 4.527 Å, 60.00 60.00 60.00°
Positions (direct):
Co  0.000  0.000  0.000
Sn  0.250  0.250  0.250
Sn  0.750  0.750  0.750
F  0.500  0.500  0.500